Below is a relaxed structure of AlAgBi2H, with properties calculated at the PBE level.

Structure (POSCAR):
```
AlAgBi2H
1.0
5.714 0.000 0.000
0.000 5.714 0.000
0.000 0.000 3.346
Al Ag Bi H
1 1 2 1
Cartesian
0.000 0.000 0.000
2.857 2.857 1.673
0.000 2.857 0.000
2.857 0.000 0.000
0.000 0.000 1.673
```

Results
E = -3.390 eV/atom
V = 109 Å³ per cell
density of states at the Fermi level = 0.231 states/eV per atom